Entry 1:
# LiEuYHg, optimized geometry, DFT PBE
# Calculated formation energy = -20.9 kJ per mole of atoms
data_LiEuYHg
_cell_length_a 7.5850
_cell_length_b 7.5850
_cell_length_c 7.5850
_cell_angle_alpha 90.00
_cell_angle_beta 90.00
_cell_angle_gamma 90.00
_space_group_name_H-M_alt 'F -4 3 m'
_space_group_IT_number 216
_space_group_name_Hall 'F -4 2 3'
loop_
_atom_site_label
_atom_site_type_symbol
_atom_site_fract_x
_atom_site_fract_y
_atom_site_fract_z
Li1 Li 0.0000 0.0000 0.0000
Eu1 Eu 0.2500 0.2500 0.2500
Y1 Y 0.2500 0.2500 0.7500
Hg1 Hg 0.0000 0.0000 0.5000

Entry 2:
# EuLuHg, optimized geometry, DFT PBE
# ΔE to the lowest computed polymorph = 0 meV per atom
# Calculated formation energy = -27.4 kJ per mole of atoms
data_EuLuHg
_cell_length_a 3.7462
_cell_length_b 3.7462
_cell_length_c 12.8621
_cell_angle_alpha 90.00
_cell_angle_beta 90.00
_cell_angle_gamma 90.00
_space_group_name_H-M_alt 'I 4 m m'
_space_group_IT_number 107
_space_group_name_Hall 'I 4 -2'
loop_
_atom_site_label
_atom_site_type_symbol
_atom_site_fract_x
_atom_site_fract_y
_atom_site_fract_z
Eu1 Eu 0.0000 0.0000 0.0000
Lu1 Lu 0.0000 0.0000 0.2873
Hg1 Hg 0.0000 0.0000 0.6686

Q: What is the calculated formation energy in the second record?
A: -27.4 kJ per mole of atoms

Q: Among the records above, which one has the highest calculated formation energy?
A: LiEuYHg

Q: Which formula does entry 1 have?
A: LiEuYHg

What did the second record say?
# EuLuHg, optimized geometry, DFT PBE
# ΔE to the lowest computed polymorph = 0 meV per atom
# Calculated formation energy = -27.4 kJ per mole of atoms
data_EuLuHg
_cell_length_a 3.7462
_cell_length_b 3.7462
_cell_length_c 12.8621
_cell_angle_alpha 90.00
_cell_angle_beta 90.00
_cell_angle_gamma 90.00
_space_group_name_H-M_alt 'I 4 m m'
_space_group_IT_number 107
_space_group_name_Hall 'I 4 -2'
loop_
_atom_site_label
_atom_site_type_symbol
_atom_site_fract_x
_atom_site_fract_y
_atom_site_fract_z
Eu1 Eu 0.0000 0.0000 0.0000
Lu1 Lu 0.0000 0.0000 0.2873
Hg1 Hg 0.0000 0.0000 0.6686